Entry 1:
VASP calculation (GGA-PBE) on LaIr2Pb after structural relaxation.

Summary:
**Energy relative to the elements**: 17.4 kJ/mol of formula units
**Fermi-level density of states**: 2.33 states/eV/f.u.
**Energy**: -6.5443 eV/atom
**M_tot**: 0.000 Bohr magnetons per cell

Unit cell a=3.349 b=4.526 c=5.738 alpha=90.00 beta=90.00 gamma=90.00
Space group Pmm2 (No. 25)
Inequivalent atoms, fractional coordinates:
La: 0.000 0.000 0.000 [1 per cell]
Ir: 0.000 0.000 0.501 [1 per cell]
Ir: 0.500 0.500 0.839 [1 per cell]
Pb: 0.500 0.500 0.357 [1 per cell]

Entry 2:
VASP calculation (GGA-PBE) on La2IrPb after structural relaxation.

Summary:
**Energy relative to the elements**: -188.4 kJ/mol of formula units
**Fermi-level density of states**: 2.80 states/eV/f.u.
**Energy**: -6.0941 eV/atom
**M_tot**: 0.000 Bohr magnetons per cell

Unit cell a=4.370 b=5.690 c=9.040 alpha=90.00 beta=90.00 gamma=90.00
Space group Immm (No. 71)
Inequivalent atoms, fractional coordinates:
La: 0.000 0.000 0.207 [4 per cell]
Ir: 0.000 0.500 0.500 [2 per cell]
Pb: 0.000 0.500 0.000 [2 per cell]

Entry 3:
VASP calculation (GGA-PBE) on LaIr2Pb after structural relaxation.

Summary:
**Energy relative to the elements**: -56.5 kJ/mol of formula units
**Fermi-level density of states**: 1.34 states/eV/f.u.
**Energy**: -6.7357 eV/atom
**M_tot**: 0.000 Bohr magnetons per cell

Unit cell a=4.615 b=4.615 c=3.951 alpha=90.00 beta=90.00 gamma=90.00
Space group P4/mmm (No. 123)
Inequivalent atoms, fractional coordinates:
La: 0.000 0.000 0.000 [1 per cell]
Ir: 0.000 0.500 0.500 [2 per cell]
Pb: 0.500 0.500 0.000 [1 per cell]

Entry 4:
VASP calculation (GGA-PBE) on La8IrPb2 after structural relaxation.

Summary:
**Energy relative to the elements**: -424.6 kJ/mol of formula units
**Fermi-level density of states**: 14.83 states/eV/f.u.
**Energy**: -5.4635 eV/atom
**M_tot**: 0.001 Bohr magnetons per cell

Unit cell a=19.554 b=5.545 c=7.036 alpha=90.00 beta=110.07 gamma=90.00
Space group C2/m (No. 12)
Inequivalent atoms, fractional coordinates:
La: 0.007 0.000 0.227 [4 per cell]
La: 0.087 0.500 0.747 [4 per cell]
La: 0.144 0.500 0.320 [4 per cell]
La: 0.218 0.000 0.137 [4 per cell]
Ir: 0.000 0.500 0.000 [2 per cell]
Pb: 0.171 0.000 0.625 [4 per cell]

Entry 5:
VASP calculation (GGA-PBE) on LaIrPb after structural relaxation.

Summary:
**Energy relative to the elements**: -110.5 kJ/mol of formula units
**Fermi-level density of states**: 2.11 states/eV/f.u.
**Energy**: -6.2139 eV/atom
**M_tot**: 0.000 Bohr magnetons per cell

Unit cell a=4.7652 b=4.7652 c=3.8851 alpha=90.00 beta=90.00 gamma=120.00
Space group P-6m2 (No. 187)
Inequivalent atoms, fractional coordinates:
La: 0.0000 0.0000 0.0000 [1 per cell]
Ir: 0.3333 0.6667 0.5000 [1 per cell]
Pb: 0.6667 0.3333 0.5000 [1 per cell]

Entry 6:
VASP calculation (GGA-PBE) on LaIrPb2 after structural relaxation.

Summary:
**Energy relative to the elements**: -47.7 kJ/mol of formula units
**Fermi-level density of states**: 3.18 states/eV/f.u.
**Energy**: -5.4248 eV/atom
**M_tot**: 0.000 Bohr magnetons per cell

Unit cell a=4.1280 b=4.1280 c=24.6294 alpha=90.00 beta=90.00 gamma=120.00
Space group R3m (No. 160, hexagonal axes)
Inequivalent atoms, fractional coordinates:
La: 0.0000 0.0000 0.0000 [3 per cell]
Ir: 0.0000 0.0000 0.2719 [3 per cell]
Pb: 0.0000 0.0000 0.5430 [3 per cell]
Pb: 0.0000 0.0000 0.7806 [3 per cell]

Entry 7:
VASP calculation (GGA-PBE) on La2IrPb after structural relaxation.

Summary:
**Energy relative to the elements**: -226.9 kJ/mol of formula units
**Fermi-level density of states**: 3.67 states/eV/f.u.
**Energy**: -6.1939 eV/atom
**M_tot**: 0.000 Bohr magnetons per cell

Unit cell a=4.1075 b=4.1075 c=26.0455 alpha=90.00 beta=90.00 gamma=120.00
Space group R3m (No. 160, hexagonal axes)
Inequivalent atoms, fractional coordinates:
La: 0.0000 0.0000 0.0000 [3 per cell]
La: 0.0000 0.0000 0.2070 [3 per cell]
Ir: 0.0000 0.0000 0.6034 [3 per cell]
Pb: 0.0000 0.0000 0.7706 [3 per cell]

Entry 8:
VASP calculation (GGA-PBE) on La2IrPb after structural relaxation.

Summary:
**Energy relative to the elements**: -232.2 kJ/mol of formula units
**Fermi-level density of states**: 3.37 states/eV/f.u.
**Energy**: -6.2077 eV/atom
**M_tot**: 0.000 Bohr magnetons per cell

Unit cell a=7.114 b=4.118 c=8.938 alpha=90.00 beta=105.60 gamma=90.00
Space group C2/m (No. 12)
Inequivalent atoms, fractional coordinates:
La: 0.231 0.000 0.192 [4 per cell]
Ir: 0.000 0.500 0.000 [2 per cell]
Pb: 0.000 0.000 0.500 [2 per cell]

Entry 9:
VASP calculation (GGA-PBE) on LaIr2Pb after structural relaxation.

Summary:
**Energy relative to the elements**: -9.8 kJ/mol of formula units
**Fermi-level density of states**: 5.30 states/eV/f.u.
**Energy**: -6.6148 eV/atom
**M_tot**: 0.001 Bohr magnetons per cell

Unit cell a=3.548 b=3.548 c=7.410 alpha=90.00 beta=90.00 gamma=90.00
Space group P4mm (No. 99)
Inequivalent atoms, fractional coordinates:
La: 0.000 0.000 0.000 [1 per cell]
Ir: 0.000 0.000 0.631 [1 per cell]
Ir: 0.500 0.500 0.747 [1 per cell]
Pb: 0.500 0.500 0.366 [1 per cell]

Entry 10:
VASP calculation (GGA-PBE) on La7Ir2Pb2 after structural relaxation.

Summary:
**Energy relative to the elements**: -580.0 kJ/mol of formula units
**Fermi-level density of states**: 13.40 states/eV/f.u.
**Energy**: -5.9675 eV/atom
**M_tot**: 0.012 Bohr magnetons per cell

Unit cell a=4.460 b=15.308 c=10.178 alpha=90.00 beta=90.00 gamma=90.00
Space group Imm2 (No. 44)
Inequivalent atoms, fractional coordinates:
La: 0.000 0.000 0.000 [2 per cell]
La: 0.000 0.100 0.402 [4 per cell]
La: 0.000 0.329 0.648 [4 per cell]
La: 0.000 0.380 0.214 [4 per cell]
Ir: 0.000 0.000 0.665 [2 per cell]
Ir: 0.000 0.500 0.713 [2 per cell]
Pb: 0.000 0.227 0.931 [4 per cell]

Entry 11:
VASP calculation (GGA-PBE) on LaIrPb2 after structural relaxation.

Summary:
**Energy relative to the elements**: -73.2 kJ/mol of formula units
**Fermi-level density of states**: 2.11 states/eV/f.u.
**Energy**: -5.4911 eV/atom
**M_tot**: 0.000 Bohr magnetons per cell

Unit cell a=3.535 b=3.535 c=8.705 alpha=90.00 beta=90.00 gamma=90.00
Space group P4mm (No. 99)
Inequivalent atoms, fractional coordinates:
La: 0.000 0.000 0.000 [1 per cell]
Ir: 0.500 0.500 0.815 [1 per cell]
Pb: 0.000 0.000 0.608 [1 per cell]
Pb: 0.500 0.500 0.321 [1 per cell]

Entry 12:
VASP calculation (GGA-PBE) on LaIr2Pb after structural relaxation.

Summary:
**Energy relative to the elements**: 63.3 kJ/mol of formula units
**Fermi-level density of states**: 3.04 states/eV/f.u.
**Energy**: -6.4254 eV/atom
**M_tot**: 0.000 Bohr magnetons per cell

Unit cell a=4.774 b=4.774 c=18.635 alpha=90.00 beta=90.00 gamma=90.00
Space group I-42d (No. 122)
Inequivalent atoms, fractional coordinates:
La: 0.000 0.000 0.000 [4 per cell]
Ir: 0.100 0.250 0.625 [8 per cell]
Pb: 0.000 0.000 0.500 [4 per cell]